A plane-wave DFT calculation with PBE was carried out for Dy2Al8Zn after structural relaxation.

The space group is P4/mmm (No. 123) and the conventional cell measures 4.297, 4.297 and 11.366 Å, with angles of 90.00, 90.00 and 90.00 degrees. The inequivalent atoms are Dy at (0.000, 0.000, 0.186), Al at (0.000, 0.500, 0.000), Al at (0.000, 0.500, 0.373), Al at (0.500, 0.500, 0.193) and Zn at (0.000, 0.000, 0.500).

The calculation puts the energy of formation from the pure elements at -0.25 eV/atom.

A plane-wave DFT calculation with PBE was carried out for Na3BH4 after structural relaxation.

The space group is Imm2 (No. 44) and the conventional cell measures 3.950, 11.132 and 6.921 Å, with angles of 90.00, 90.00 and 90.00 degrees. The inequivalent atoms are Na at (0.000, 0.000, 0.000), Na at (0.000, 0.185, 0.531), B at (0.000, 0.500, 0.038), H at (0.000, 0.411, 0.931) and H at (0.248, 0.500, 0.143).

Its total energy is -3.146 eV/atom.

A plane-wave DFT calculation with PBE was carried out for Sr2TiSiO6 after structural relaxation.

The space group is P-3m1 (No. 164) and the conventional cell measures 5.5638, 5.5638 and 4.8831 Å, with angles of 90.00, 90.00 and 120.00 degrees. The inequivalent atoms are Sr at (0.3333, 0.6667, 0.1836), Ti at (0.0000, 0.0000, 0.5000), Si at (0.0000, 0.0000, 0.0000) and O at (0.1505, 0.3010, 0.7748).

For the formation energy without anion corrections, the calculation gives -2.821 eV per atom.

A plane-wave DFT calculation with PBE was carried out for Ac3IN3 after structural relaxation.

The space group is R-3 (No. 148, hexagonal axes) and the conventional cell measures 7.3488, 7.3488 and 26.1207 Å, with angles of 90.00, 90.00 and 120.00 degrees. The inequivalent atoms are Ac at (0.0009, 0.3387, 0.3910), I at (0.0000, 0.0000, 0.1668) and N at (0.0014, 0.3309, 0.6276).

For the formation energy without anion corrections, the calculation gives -1.152 eV per atom.